FeNiI2O: optimized geometry, PBE with a Hubbard U.

Results
As for the spin magnetization: 6.61 μB/f.u. The energy above the most stable polymorph in this dataset is 219 meV/atom.

a = 5.597 Å, b = 5.597 Å, c = 3.665 Å
α = 90.00°, β = 90.00°, γ = 90.00°
Space group P4/mmm (No. 123)
One atom of each set of equivalent atoms:
Fe1 0.000 0.000 0.000
Ni1 0.500 0.500 0.500
I1 0.000 0.500 0.500
O1 0.500 0.500 0.000